{"formula": "Tm4Ir3Ru", "functional": "PBE", "state": "relaxed", "cell": [[3.360, 0.000, 0.000], [0.000, 4.777, 0.000], [0.000, 0.000, 9.542]], "species": ["Tm", "Tm", "Tm", "Tm", "Ir", "Ir", "Ir", "Ru"], "frac_coords": [[0.000, 0.000, 0.000], [0.000, 0.000, 0.500], [0.000, 0.500, 0.247], [0.000, 0.500, 0.753], [0.500, 0.000, 0.250], [0.500, 0.000, 0.750], [0.500, 0.500, 0.500], [0.500, 0.500, 0.000]], "total_magnetization_mub_per_atom": 0.000, "crystal_system": "orthorhombic", "space_group": "Pmmm", "e_form_mev_per_atom": -816}

{"formula": "TmIrRu", "functional": "PBE", "state": "relaxed", "cell": [[-2.585, 2.691, 3.814], [2.585, -2.691, 3.814], [2.585, 2.691, -3.814]], "species": ["Tm", "Tm", "Ir", "Ir", "Ru", "Ru"], "frac_coords": [[0.372, 0.122, 0.250], [0.628, 0.878, 0.750], [0.000, 0.500, 0.500], [0.500, 0.500, 0.000], [0.000, 0.000, 0.500], [0.000, 0.500, 0.000]], "total_magnetization_mub_per_atom": 0.000, "crystal_system": "orthorhombic", "space_group": "Imma", "e_form_mev_per_atom": -608}

{"formula": "Tm5IrRu4", "functional": "PBE", "state": "relaxed", "cell": [[3.358, 0.000, 0.000], [0.000, 3.358, 0.000], [0.000, 0.000, 16.791]], "species": ["Tm", "Tm", "Tm", "Tm", "Tm", "Ir", "Ru", "Ru", "Ru", "Ru"], "frac_coords": [[0.000, 0.000, 0.000], [0.000, 0.000, 0.199], [0.000, 0.000, 0.397], [0.000, 0.000, 0.603], [0.000, 0.000, 0.801], [0.500, 0.500, 0.500], [0.500, 0.500, 0.100], [0.500, 0.500, 0.300], [0.500, 0.500, 0.700], [0.500, 0.500, 0.900]], "total_magnetization_mub_per_atom": 0.000, "crystal_system": "tetragonal", "space_group": "P4/mmm", "e_form_mev_per_atom": -527}

{"formula": "Tm4IrRu3", "functional": "PBE", "state": "relaxed", "cell": [[3.356, 0.000, 0.000], [0.000, 4.756, 0.000], [0.000, 0.000, 9.499]], "species": ["Tm", "Tm", "Tm", "Tm", "Ir", "Ru", "Ru", "Ru"], "frac_coords": [[0.000, 0.000, 0.000], [0.000, 0.000, 0.500], [0.000, 0.500, 0.247], [0.000, 0.500, 0.753], [0.500, 0.500, 0.500], [0.500, 0.000, 0.251], [0.500, 0.000, 0.749], [0.500, 0.500, 0.000]], "total_magnetization_mub_per_atom": 0.000, "crystal_system": "orthorhombic", "space_group": "Pmmm", "e_form_mev_per_atom": -560}

{"formula": "Tm3Ir2Ru", "functional": "PBE", "state": "relaxed", "cell": [[4.761, 0.000, 0.000], [-2.380, 4.123, 0.000], [0.000, 0.000, 5.829]], "species": ["Tm", "Tm", "Tm", "Ir", "Ir", "Ru"], "frac_coords": [[0.000, 0.000, 0.000], [0.333, 0.667, 0.666], [0.667, 0.333, 0.334], [0.333, 0.667, 0.169], [0.667, 0.333, 0.831], [0.000, 0.000, 0.500]], "total_magnetization_mub_per_atom": 0.000, "crystal_system": "trigonal", "space_group": "P-3m1", "e_form_mev_per_atom": -795}

{"formula": "TmIrRu", "functional": "PBE", "state": "relaxed", "cell": [[6.796, 0.000, 0.000], [-3.398, 5.886, 0.000], [0.000, 0.000, 4.134]], "species": ["Tm", "Tm", "Tm", "Ir", "Ir", "Ir", "Ru", "Ru", "Ru"], "frac_coords": [[0.000, 0.408, 0.000], [0.408, 0.000, 0.000], [0.592, 0.592, 0.000], [0.000, 0.000, 0.000], [0.333, 0.667, 0.500], [0.667, 0.333, 0.500], [0.000, 0.757, 0.500], [0.243, 0.243, 0.500], [0.757, 0.000, 0.500]], "total_magnetization_mub_per_atom": 0.000, "crystal_system": "hexagonal", "space_group": "P-62m", "e_form_mev_per_atom": -446}

{"formula": "Tm2IrRu", "functional": "PBE", "state": "relaxed", "cell": [[0.000, 3.364, 3.364], [3.364, 0.000, 3.364], [3.364, 3.364, 0.000]], "species": ["Tm", "Tm", "Ir", "Ru"], "frac_coords": [[0.250, 0.250, 0.250], [0.750, 0.750, 0.750], [0.000, 0.000, 0.000], [0.500, 0.500, 0.500]], "total_magnetization_mub_per_atom": 0.000, "crystal_system": "cubic", "space_group": "Fm-3m", "e_form_mev_per_atom": -718}

{"formula": "Tm4IrRu2", "functional": "PBE", "state": "relaxed", "cell": [[-3.353, 3.353, 3.361], [3.353, -3.353, 3.361], [3.353, 3.353, -3.361]], "species": ["Tm", "Tm", "Tm", "Tm", "Ir", "Ru", "Ru"], "frac_coords": [[0.000, 0.000, 0.500], [0.000, 0.500, 0.000], [0.500, 0.000, 0.000], [0.500, 0.500, 0.500], [0.000, 0.000, 0.000], [0.000, 0.500, 0.500], [0.500, 0.000, 0.500]], "total_magnetization_mub_per_atom": 0.000, "crystal_system": "tetragonal", "space_group": "I4/mmm", "e_form_mev_per_atom": -548}